! Sr2CuIr PBE optimized geometry; values from VASP
&SYSTEM
  ibrav = 0, nat = 8, ntyp = 3
/
ATOMIC_SPECIES
Cu 63.55 Cu.upf
Ir 192.22 Ir.upf
Sr 87.62 Sr.upf
CELL_PARAMETERS angstrom
6.396 0.000 0.000
0.000 6.396 0.000
3.198 3.198 7.522
ATOMIC_POSITIONS angstrom
Cu 3.198 3.198 0.000
Ir 0.000 0.000 0.000
Cu 3.198 6.396 3.761
Sr 4.797 4.548 5.641
Sr 5.046 1.599 1.880
Ir 6.396 3.198 3.761
Sr 1.350 4.797 1.880
Sr 7.995 8.244 5.641
! Total magnetization, μB/cell: 0.00
! Calculated total energy, eV per atom: -3.49